Below is a crystal of AlCo4Pb relaxed with PBEsol, with properties calculated at the meta-GGA SCAN level.

Computed properties:
Energy of formation   1.53 eV per formula unit
N(E_F)   6.7 states/eV/f.u.

a b c (Å): 4.796 4.796 4.796
angles (deg): 60.00 60.00 60.00
Element x y z (fractional)
Al1 0.000 0.000 0.000
Co1 0.122 0.626 0.626
Co2 0.626 0.122 0.626
Co3 0.626 0.626 0.122
Co4 0.626 0.626 0.626
Pb1 0.250 0.250 0.250